Material: AlAgSe2
Method: DFT, PBE
State: relaxed

a b c (Å): 4.396 4.396 7.607
angles (deg): 90.00 90.00 132.24
Positions (direct):
Al1 0.000 0.000 0.000
Ag1 0.000 0.000 0.500
Se1 0.500 0.500 0.222
Se2 0.500 0.500 0.778

Results
Raw formation energy: -194 meV/atom
Crystal system: orthorhombic